{"formula": "NiRuSeF2", "functional": "GGA+U", "state": "relaxed", "cell": [[3.6744, 0.0000, 0.0000], [0.0000, 3.6744, 0.0000], [0.0000, 0.0000, 6.0190]], "species": ["Ni", "Ru", "Se", "F", "F"], "frac_coords": [[0.0000, 0.0000, 0.0000], [0.0000, 0.0000, 0.5000], [0.5000, 0.5000, 0.5000], [0.0000, 0.5000, 0.0000], [0.5000, 0.0000, 0.0000]], "energy_ev_per_atom": -4.42, "spacegroup": "P4/mmm (123)"}